Na4TlSn2: optimized geometry, PBE-GGA.

Calculated values
VASP energy: -32.51 eV for the cell shown
ΔE_f: -2.00 kcal/mol of atoms
Polymorph energy (0 for the lowest one): 0.37 eV per formula unit
Theoretical density: 4.21 g/cm3

Cell: 8.267 6.114 9.201 Å, 90.00 114.99 90.00°
Atoms (fractional coordinates):
Na  0.031  0.250  0.419
Na  0.170  0.750  0.278
Na  0.426  0.004  0.781
Na  0.426  0.496  0.781
Na  0.574  0.504  0.219
Na  0.574  0.996  0.219
Na  0.830  0.250  0.722
Na  0.969  0.750  0.581
Tl  0.177  0.250  0.071
Tl  0.823  0.750  0.929
Sn  0.208  0.750  0.946
Sn  0.425  0.250  0.457
Sn  0.575  0.750  0.543
Sn  0.792  0.250  0.054